No. 1
# Nd2Sm2C2Br2Cl3 GGA-PBE optimized geometry
data_Nd2Sm2C2Br2Cl3
_chemical_formula_sum 'Nd4 Sm4 C4 Br4 Cl6'
_symmetry_space_group_name_H-M 'C 1 2/m 1'
_symmetry_Int_Tables_number 12
_cell_length_a 19.243
_cell_length_b 3.875
_cell_length_c 7.953
_cell_angle_alpha 90.00
_cell_angle_beta 104.61
_cell_angle_gamma 90.00
loop_
_symmetry_equiv_pos_as_xyz
'x,y,z'
'-x,-y,-z'
'-x,y,-z'
'x,-y,z'
'x+1/2,y+1/2,z'
'-x+1/2,-y+1/2,-z'
'-x+1/2,y+1/2,-z'
'x+1/2,-y+1/2,z'
loop_
_atom_site_label
_atom_site_type_symbol
_atom_site_fract_x
_atom_site_fract_y
_atom_site_fract_z
Nd1 Nd 0.001 0.000 0.211
Sm1 Sm 0.157 0.500 0.106
C1 C 0.038 0.500 0.024
Br1 Br 0.169 0.000 0.830
Cl1 Cl 0.000 0.500 0.500
Cl2 Cl 0.159 0.000 0.358
# Relative energy among the computed polymorphs   0.000 eV/atom
# Total moment   0.014 μB/cell

***

No. 2
# Nd2Y2CBr3Cl2 GGA-PBE optimized geometry
data_Nd2Y2CBr3Cl2
_chemical_formula_sum 'Nd4 Y4 C2 Br6 Cl4'
_symmetry_space_group_name_H-M 'C 1 2/m 1'
_symmetry_Int_Tables_number 12
_cell_length_a 17.413
_cell_length_b 3.887
_cell_length_c 8.453
_cell_angle_alpha 90.00
_cell_angle_beta 103.12
_cell_angle_gamma 90.00
loop_
_symmetry_equiv_pos_as_xyz
'x,y,z'
'-x,-y,-z'
'-x,y,-z'
'x,-y,z'
'x+1/2,y+1/2,z'
'-x+1/2,-y+1/2,-z'
'-x+1/2,y+1/2,-z'
'x+1/2,-y+1/2,z'
loop_
_atom_site_label
_atom_site_type_symbol
_atom_site_fract_x
_atom_site_fract_y
_atom_site_fract_z
Nd1 Nd 0.003 0.000 0.295
Y1 Y 0.142 0.500 0.573
C1 C 0.000 0.500 0.500
Br1 Br 0.000 0.500 0.000
Br2 Br 0.173 0.000 0.829
Cl1 Cl 0.175 0.000 0.363
# Relative energy among the computed polymorphs   0.000 eV/atom
# Total moment   0.025 μB/cell

***

No. 3
# Nd2Y2CBr4Cl GGA-PBE optimized geometry
data_Nd2Y2CBr4Cl
_chemical_formula_sum 'Nd4 Y4 C2 Br8 Cl2'
_symmetry_space_group_name_H-M 'C 1 2/m 1'
_symmetry_Int_Tables_number 12
_cell_length_a 18.066
_cell_length_b 3.828
_cell_length_c 8.040
_cell_angle_alpha 90.00
_cell_angle_beta 103.78
_cell_angle_gamma 90.00
loop_
_symmetry_equiv_pos_as_xyz
'x,y,z'
'-x,-y,-z'
'-x,y,-z'
'x,-y,z'
'x+1/2,y+1/2,z'
'-x+1/2,-y+1/2,-z'
'-x+1/2,y+1/2,-z'
'x+1/2,-y+1/2,z'
loop_
_atom_site_label
_atom_site_type_symbol
_atom_site_fract_x
_atom_site_fract_y
_atom_site_fract_z
Nd1 Nd 0.144 0.000 0.079
Y1 Y 0.000 0.500 0.207
C1 C 0.000 0.000 0.000
Br1 Br 0.161 0.500 0.364
Br2 Br 0.166 0.500 0.811
Cl1 Cl 0.000 0.000 0.500
# Relative energy among the computed polymorphs   0.011 eV/atom
# Total moment   0.322 μB/cell

***

No. 4
# Nd2Y2CBr3Cl2 GGA-PBE optimized geometry
data_Nd2Y2CBr3Cl2
_chemical_formula_sum 'Nd4 Y4 C2 Br6 Cl4'
_symmetry_space_group_name_H-M 'C 1 2/m 1'
_symmetry_Int_Tables_number 12
_cell_length_a 17.956
_cell_length_b 3.831
_cell_length_c 8.121
_cell_angle_alpha 90.00
_cell_angle_beta 104.60
_cell_angle_gamma 90.00
loop_
_symmetry_equiv_pos_as_xyz
'x,y,z'
'-x,-y,-z'
'-x,y,-z'
'x,-y,z'
'x+1/2,y+1/2,z'
'-x+1/2,-y+1/2,-z'
'-x+1/2,y+1/2,-z'
'x+1/2,-y+1/2,z'
loop_
_atom_site_label
_atom_site_type_symbol
_atom_site_fract_x
_atom_site_fract_y
_atom_site_fract_z
Nd1 Nd 0.145 0.000 0.085
Y1 Y 0.000 0.500 0.203
C1 C 0.000 0.000 0.000
Br1 Br 0.000 0.000 0.500
Br2 Br 0.166 0.500 0.815
Cl1 Cl 0.157 0.500 0.346
# Relative energy among the computed polymorphs   0.003 eV/atom
# Total moment   0.661 μB/cell